First-principles (GGA-PBEsol) data for Ba3C after structural relaxation, as listed in the Alexandria database.

Unit cell a=5.7622 b=5.7622 c=5.7622 alpha=90.00 beta=90.00 gamma=90.00
Closest atoms and distances in Å follow each position.
Space group Pm-3m (No. 221)
Asymmetric unit:
Ba: 0.0000 0.0000 0.5000  2 C 2.88
C: 0.0000 0.0000 0.0000  6 Ba 2.88

## Properties
ΔH_f (0 K) (eV/atom): 0.6353
Crystal system: cubic
Excess energy over the best structure of this formula in the dataset (meV/atom): 224.0


First-principles (GGA-PBEsol) data for K2IrRh after structural relaxation, as listed in the Alexandria database.

Unit cell a=5.4961 b=10.5824 c=2.6838 alpha=90.00 beta=90.00 gamma=90.00
Closest atoms and distances in Å follow each position.
Space group Cmmm (No. 65)
Asymmetric unit:
K: 0.2500 0.2500 0.0000  4 K 2.68-2.75
Ir: 0.0000 0.0000 0.5000  2 Ir 2.68, 2 Rh 2.75
Rh: 0.0000 0.5000 0.5000  2 Rh 2.68, 2 Ir 2.75

## Properties
ΔH_f (0 K) (eV/atom): 0.9312
Crystal system: orthorhombic
Excess energy over the best structure of this formula in the dataset (meV/atom): 431.3


| no. | final energy (eV/f.u.) | size of the total moment (Bohr magnetons per cell) |
| --- | --- | --- |
| 1 | -13.550 | 0.0 |
| 2 | -16.504 | 0.8 |